VASP calculation (PBE) on crystalline BaNa2VSe4 at its relaxed geometry.

## Properties
ΔE_f (raw) in eV/atom: -1.138
VASP energy in eV per atom: -4.590

Geometry as CIF:
```
data_BaNa2VSe4
_cell_length_a 7.5560
_cell_length_b 7.5560
_cell_length_c 8.2074
_cell_angle_alpha 90.00
_cell_angle_beta 90.00
_cell_angle_gamma 90.00
_space_group_name_H-M_alt 'I -4 2 m'
_space_group_IT_number 121
_space_group_name_Hall 'I -4 2'
loop_
_atom_site_label
_atom_site_type_symbol
_atom_site_fract_x
_atom_site_fract_y
_atom_site_fract_z
Ba1 Ba 0.0000 0.0000 0.0000
Na1 Na 0.0000 0.5000 0.2500
V1 V 0.0000 0.0000 0.5000
Se1 Se 0.1839 0.1839 0.3410
```